[1]
Material: Ca4Mn6F19
Method: DFT, PBE+U
State: optimized geometry

a = 8.2035 Å, b = 8.2035 Å, c = 8.2035 Å
α = 109.47°, β = 109.47°, γ = 109.47°
Last column: magnetic moment on the atom in μB.
Element x y z (fractional)
Ca 0.0000 0.0000 0.7097  0.01
Ca 0.0000 0.7097 0.0000  0.01
Ca 0.2903 0.2903 0.2903  0.01
Ca 0.7097 0.0000 0.0000  0.01
Mn 0.3357 0.5000 0.8357  4.67
Mn 0.6643 0.5000 0.1643  4.67
Mn 0.1643 0.6643 0.5000  4.67
Mn 0.8357 0.3357 0.5000  4.67
Mn 0.5000 0.8357 0.3357  4.67
Mn 0.5000 0.1643 0.6643  4.67
F 0.6810 0.0000 0.6810  0.03
F 0.3190 0.0000 0.3190  0.03
F 0.3190 0.3190 0.0000  0.03
F 0.6810 0.6810 0.0000  0.03
F 0.0000 0.6810 0.6810  0.03
F 0.0000 0.3190 0.3190  0.03
F 0.0000 0.0000 0.0000  0.00
F 0.3775 0.3444 0.6043  0.04
F 0.6225 0.2268 0.9669  0.04
F 0.7401 0.7732 0.3957  0.04
F 0.9669 0.6225 0.2268  0.04
F 0.2599 0.6556 0.0331  0.04
F 0.6043 0.3775 0.3444  0.04
F 0.0331 0.2599 0.6556  0.04
F 0.3957 0.7401 0.7732  0.04
F 0.6556 0.0331 0.2599  0.04
F 0.2268 0.9669 0.6225  0.04
F 0.3444 0.6043 0.3775  0.04
F 0.7732 0.3957 0.7401  0.04

Summary:
Symmetry = No. 197
M_tot = 30.0 μB per formula unit
Total DFT energy (no corrections) = -0.4457 Ry/atom

---

[2]
Material: CaMn2F7
Method: DFT, PBE+U
State: optimized geometry

a = 3.7962 Å, b = 3.7962 Å, c = 10.2092 Å
α = 79.28°, β = 79.28°, γ = 60.00°
Last column: magnetic moment on the atom in μB.
Element x y z (fractional)
Ca 0.5000 0.5000 0.5000  0.00
Mn 0.0647 0.0647 0.8059  4.38
Mn 0.9353 0.9353 0.1941  4.38
F 0.7197 0.7197 0.8408  0.00
F 0.5767 0.5767 0.2700  0.03
F 0.0000 0.0000 0.0000  -0.09
F 0.2803 0.2803 0.1592  0.00
F 0.1374 0.1374 0.5878  -0.01
F 0.8626 0.8626 0.4122  -0.01
F 0.4233 0.4233 0.7300  0.03

Summary:
Symmetry = No. 166
M_tot = 9.0 μB per formula unit
Total DFT energy (no corrections) = -0.4293 Ry/atom

---

[3]
Material: CaMn2F6
Method: DFT, PBE+U
State: optimized geometry

a = 5.0611 Å, b = 5.0611 Å, c = 10.2557 Å
α = 90.00°, β = 90.00°, γ = 90.00°
Last column: magnetic moment on the atom in μB.
Element x y z (fractional)
Ca 0.5000 0.5000 0.0000  0.01
Ca 0.0000 0.0000 0.5000  0.01
Mn 0.5000 0.5000 0.3328  4.70
Mn 0.5000 0.5000 0.6672  4.70
Mn 0.0000 0.0000 0.1672  4.70
Mn 0.0000 0.0000 0.8328  4.70
F 0.6997 0.6997 0.1739  0.04
F 0.6997 0.6997 0.8261  0.04
F 0.6851 0.6851 0.5000  0.04
F 0.8149 0.1851 0.0000  0.04
F 0.8003 0.1997 0.3261  0.04
F 0.8003 0.1997 0.6739  0.04
F 0.1997 0.8003 0.3261  0.04
F 0.1997 0.8003 0.6739  0.04
F 0.1851 0.8149 0.0000  0.04
F 0.3149 0.3149 0.5000  0.04
F 0.3003 0.3003 0.1739  0.04
F 0.3003 0.3003 0.8261  0.04

Summary:
Symmetry = No. 136
M_tot = 10.0 μB per formula unit
Total DFT energy (no corrections) = -0.4573 Ry/atom

---

[4]
Material: Ca3MnF
Method: DFT, PBE+U
State: optimized geometry

a = 6.0228 Å, b = 6.0228 Å, c = 6.0228 Å
α = 90.00°, β = 90.00°, γ = 90.00°
Last column: magnetic moment on the atom in μB.
Element x y z (fractional)
Ca 0.0000 0.5000 0.0000  -0.03
Ca 0.0000 0.0000 0.5000  -0.01
Ca 0.5000 0.0000 0.0000  -0.05
Mn 0.0000 0.0000 0.0000  -4.66
F 0.5000 0.5000 0.5000  -0.01

Summary:
Symmetry = No. 221
M_tot = 5.6 μB per formula unit
Energy relative to the lowest polymorph listed for this composition = 89.2 kJ/mol of atoms

---

[5]
Material: CaMnF4
Method: DFT, PBE+U
State: optimized geometry

a = 6.6301 Å, b = 6.6301 Å, c = 6.6301 Å
α = 131.69°, β = 131.69°, γ = 70.72°
Last column: magnetic moment on the atom in μB.
Element x y z (fractional)
Ca 0.7500 0.7500 0.0000  0.00
Ca 0.2500 0.2500 0.0000  0.00
Mn 0.5000 0.0000 0.5000  4.70
Mn 0.0000 0.5000 0.5000  4.70
F 0.8406 0.9070 0.5000  0.03
F 0.5930 0.6594 0.5000  0.03
F 0.1594 0.0930 0.5000  0.03
F 0.0930 0.5930 0.9336  0.03
F 0.4070 0.3406 0.5000  0.03
F 0.3406 0.8406 0.9336  0.03
F 0.9070 0.4070 0.0664  0.03
F 0.6594 0.1594 0.0664  0.03

Summary:
Symmetry = No. 140
M_tot = 5.0 μB per formula unit
Total DFT energy (no corrections) = -0.4492 Ry/atom

---

[6]
Material: Ca3MnF6
Method: DFT, PBE+U
State: optimized geometry

a = 4.5933 Å, b = 6.9038 Å, c = 6.8933 Å
α = 119.94°, β = 90.00°, γ = 91.90°
Last column: magnetic moment on the atom in μB.
Element x y z (fractional)
Ca 0.0000 0.5000 0.0000  -0.01
Ca 0.0000 0.5000 0.5000  -0.01
Ca 0.5000 0.0000 0.5000  -0.01
Mn 0.0000 0.0000 0.0000  4.70
F 0.7698 0.1551 0.3255  0.01
F 0.2302 0.8449 0.6745  0.01
F 0.7695 0.1552 0.8298  0.01
F 0.2305 0.8448 0.1702  0.01
F 0.7924 0.6747 0.8373  0.02
F 0.2076 0.3253 0.1627  0.02

Summary:
Symmetry = No. 12
M_tot = 4.8 μB per formula unit
Total DFT energy (no corrections) = -0.3997 Ry/atom

---

[7]
Material: Ca3MnF
Method: DFT, PBE+U
State: optimized geometry

a = 5.0971 Å, b = 5.0971 Å, c = 5.0971 Å
α = 90.00°, β = 90.00°, γ = 90.00°
Last column: magnetic moment on the atom in μB.
Element x y z (fractional)
Ca 0.0000 0.5000 0.0000  0.02
Ca 0.0000 0.0000 0.5000  0.01
Ca 0.5000 0.0000 0.0000  -0.01
Mn 0.5000 0.5000 0.5000  4.65
F 0.0000 0.0000 0.0000  -0.01

Summary:
Symmetry = No. 221
M_tot = 5.2 μB per formula unit
Energy relative to the lowest polymorph listed for this composition = 0.0 kJ/mol of atoms

---

[8]
Material: CaMnF4
Method: DFT, PBE+U
State: optimized geometry

a = 5.2526 Å, b = 5.5820 Å, c = 6.0041 Å
α = 90.00°, β = 90.00°, γ = 90.00°
Last column: magnetic moment on the atom in μB.
Element x y z (fractional)
Ca 0.0000 0.5000 0.1842  0.00
Ca 0.5000 0.5000 0.6842  0.00
Mn 0.0000 0.0000 0.8284  4.70
Mn 0.5000 0.0000 0.3284  4.70
F 0.2401 0.8354 0.0991  0.03
F 0.2088 0.3178 0.8946  0.02
F 0.2912 0.3178 0.3946  0.02
F 0.2599 0.8354 0.5991  0.03
F 0.7088 0.6822 0.3946  0.02
F 0.7401 0.1646 0.5991  0.03
F 0.7599 0.1646 0.0991  0.03
F 0.7912 0.6822 0.8946  0.02

Summary:
Symmetry = No. 30
M_tot = 5.0 μB per formula unit
Total DFT energy (no corrections) = -0.4497 Ry/atom